1.
Tl3Cd2I8: relaxed, PBE-GGA.

Geometry as CIF:
```
data_Tl3Cd2I8
_chemical_formula_sum 'Tl6 Cd4 I16'
_cell_length_a 15.7474
_cell_length_b 10.0545
_cell_length_c 8.1077
_cell_angle_alpha 90.00
_cell_angle_beta 110.41
_cell_angle_gamma 90.00
_space_group_name_H-M_alt 'C 1 2/m 1'
_space_group_IT_number 12
loop_
_space_group_symop_operation_xyz
'x,y,z'
'-x,-y,-z'
'-x,y,-z'
'x,-y,z'
'x+1/2,y+1/2,z'
'-x+1/2,-y+1/2,-z'
'-x+1/2,y+1/2,-z'
'x+1/2,-y+1/2,z'
loop_
_atom_site_label
_atom_site_type_symbol
_atom_site_fract_x
_atom_site_fract_y
_atom_site_fract_z
Tl1 Tl 0.0000 0.0000 0.0000
Tl2 Tl 0.0000 0.2763 0.5000
Cd1 Cd 0.1808 0.5000 0.1245
I1 I 0.1231 0.0000 0.7073
I2 I 0.1310 0.2629 0.2495
I3 I 0.1504 0.5000 0.7588
```

Properties
Calculated total energy in eV/atom: -2.17
Formation energy without anion corrections in meV/atom: -524.9
M_tot in μB/atom: 0.0000



2.
Na2LaAlTe4: relaxed, PBE-GGA.

Geometry as CIF:
```
data_Na2LaAlTe4
_chemical_formula_sum 'Na8 La4 Al4 Te16'
_cell_length_a 8.5201
_cell_length_b 9.3335
_cell_length_c 12.7218
_cell_angle_alpha 90.00
_cell_angle_beta 90.00
_cell_angle_gamma 90.00
_space_group_name_H-M_alt 'I m m a'
_space_group_IT_number 74
_space_group_name_Hall '-I 2b 2'
loop_
_atom_site_label
_atom_site_type_symbol
_atom_site_fract_x
_atom_site_fract_y
_atom_site_fract_z
Na1 Na 0.0000 0.0000 0.0000
Na2 Na 0.2500 0.2500 0.2500
La1 La 0.0000 0.0000 0.5000
Al1 Al 0.2500 0.2500 0.7500
Te1 Te 0.0000 0.0446 0.7531
Te2 Te 0.2464 0.2500 0.9898
```

Properties
Calculated total energy in eV/atom: -3.92
Formation energy without anion corrections in meV/atom: -935.6
M_tot in μB/atom: 0.0000



3.
LiTm3Sn5: relaxed, PBE-GGA.

Geometry as CIF:
```
data_LiTm3Sn5
_chemical_formula_sum 'Li2 Tm6 Sn10'
_cell_length_a 9.1047
_cell_length_b 9.1047
_cell_length_c 6.2390
_cell_angle_alpha 90.00
_cell_angle_beta 90.00
_cell_angle_gamma 120.00
_space_group_name_H-M_alt 'P 63/m c m'
_space_group_IT_number 193
_space_group_name_Hall '-P 6c 2'
loop_
_atom_site_label
_atom_site_type_symbol
_atom_site_fract_x
_atom_site_fract_y
_atom_site_fract_z
Li1 Li 0.0000 0.0000 0.0000
Tm1 Tm 0.0000 0.3821 0.2500
Sn1 Sn 0.0000 0.2726 0.7500
Sn2 Sn 0.3333 0.6667 0.0000
```

Properties
Calculated total energy in eV/atom: -4.38
ΔH_f (0 K) in meV/atom: -454
M_tot in μB/atom: 0.0000



4.
LaTlCl2: relaxed, PBE-GGA.

Geometry as CIF:
```
data_LaTlCl2
_chemical_formula_sum 'La2 Tl2 Cl4'
_cell_length_a 3.8790
_cell_length_b 6.4934
_cell_length_c 10.2814
_cell_angle_alpha 90.00
_cell_angle_beta 90.00
_cell_angle_gamma 90.00
_space_group_name_H-M_alt 'C m m m'
_space_group_IT_number 65
_space_group_name_Hall '-C 2 2'
loop_
_atom_site_label
_atom_site_type_symbol
_atom_site_fract_x
_atom_site_fract_y
_atom_site_fract_z
La1 La 0.0000 0.0000 0.0000
Tl1 Tl 0.0000 0.0000 0.5000
Cl1 Cl 0.0000 0.5000 0.2046
```

Properties
Calculated total energy in eV/atom: -4.03
Formation energy without anion corrections in meV/atom: -1284.9
M_tot in μB/atom: 0.0001



5.
Tl2IrRuO6: relaxed, PBE-GGA.

Geometry as CIF:
```
data_Tl2IrRuO6
_chemical_formula_sum 'Tl2 Ir1 Ru1 O6'
_cell_length_a 5.5912
_cell_length_b 5.6012
_cell_length_c 5.6059
_cell_angle_alpha 91.37
_cell_angle_beta 119.17
_cell_angle_gamma 119.11
_space_group_name_H-M_alt 'P -1'
_space_group_IT_number 2
loop_
_space_group_symop_operation_xyz
'x,y,z'
'-x,-y,-z'
loop_
_atom_site_label
_atom_site_type_symbol
_atom_site_fract_x
_atom_site_fract_y
_atom_site_fract_z
Tl1 Tl 0.0050 0.2543 0.2515
Ir1 Ir 0.5000 0.0000 0.5000
Ru1 Ru 0.5000 0.5000 0.0000
O1 O 0.0011 0.6937 0.3150
O2 O 0.3789 0.1794 0.1814
O3 O 0.4897 0.7313 0.2562
```

Properties
Calculated total energy in eV/atom: -5.88
Formation energy without anion corrections in meV/atom: -623.0
M_tot in μB/atom: 0.0001



6.
TbTm5P6: relaxed, PBE-GGA.

Geometry as CIF:
```
data_TbTm5P6
_chemical_formula_sum 'Tb2 Tm10 P12'
_cell_length_a 6.8644
_cell_length_b 11.8860
_cell_length_c 6.8618
_cell_angle_alpha 90.00
_cell_angle_beta 109.47
_cell_angle_gamma 90.00
_space_group_name_H-M_alt 'C 1 2/m 1'
_space_group_IT_number 12
loop_
_space_group_symop_operation_xyz
'x,y,z'
'-x,-y,-z'
'-x,y,-z'
'x,-y,z'
'x+1/2,y+1/2,z'
'-x+1/2,-y+1/2,-z'
'-x+1/2,y+1/2,-z'
'x+1/2,-y+1/2,z'
loop_
_atom_site_label
_atom_site_type_symbol
_atom_site_fract_x
_atom_site_fract_y
_atom_site_fract_z
Tb1 Tb 0.0000 0.0000 0.0000
Tm1 Tm 0.0000 0.1661 0.5000
Tm2 Tm 0.0000 0.3331 0.0000
Tm3 Tm 0.0000 0.5000 0.5000
P1 P 0.2480 0.3320 0.7482
P2 P 0.2478 0.5000 0.2514
```

Properties
Calculated total energy in eV/atom: -6.56
ΔH_f (0 K) in meV/atom: -1607
M_tot in μB/atom: 0.0000



7.
NdGdCdHg: relaxed, PBE-GGA.

Geometry as CIF:
```
data_NdGdCdHg
_chemical_formula_sum 'Nd4 Gd4 Cd4 Hg4'
_cell_length_a 7.6115
_cell_length_b 7.6115
_cell_length_c 7.6115
_cell_angle_alpha 90.00
_cell_angle_beta 90.00
_cell_angle_gamma 90.00
_space_group_name_H-M_alt 'F -4 3 m'
_space_group_IT_number 216
_space_group_name_Hall 'F -4 2 3'
loop_
_atom_site_label
_atom_site_type_symbol
_atom_site_fract_x
_atom_site_fract_y
_atom_site_fract_z
Nd1 Nd 0.0000 0.0000 0.0000
Gd1 Gd 0.0000 0.0000 0.5000
Cd1 Cd 0.2500 0.2500 0.7500
Hg1 Hg 0.2500 0.2500 0.2500
```

Properties
Calculated total energy in eV/atom: -5.43
ΔH_f (0 K) in meV/atom: -411
M_tot in μB/atom: 1.9836



8.
LiTbPaTc: relaxed, PBE-GGA.

Geometry as CIF:
```
data_LiTbPaTc
_chemical_formula_sum 'Li4 Tb4 Pa4 Tc4'
_cell_length_a 6.9539
_cell_length_b 6.9539
_cell_length_c 6.9539
_cell_angle_alpha 90.00
_cell_angle_beta 90.00
_cell_angle_gamma 90.00
_space_group_name_H-M_alt 'F -4 3 m'
_space_group_IT_number 216
_space_group_name_Hall 'F -4 2 3'
loop_
_atom_site_label
_atom_site_type_symbol
_atom_site_fract_x
_atom_site_fract_y
_atom_site_fract_z
Li1 Li 0.0000 0.0000 0.0000
Tb1 Tb 0.2500 0.2500 0.2500
Pa1 Pa 0.2500 0.2500 0.7500
Tc1 Tc 0.0000 0.0000 0.5000
```

Properties
Calculated total energy in eV/atom: -6.53
ΔH_f (0 K) in meV/atom: 72
M_tot in μB/atom: 0.0004